1.
DFT (PBE) results for an optimized crystal structure of BaBiOsBr2.

Summary:
DOS at the Fermi energy	0.72	states/eV/atom
E_form (uncorrected)	-135	meV/atom
raw total energy	-4.210	eV per atom

The structure in CIF format:
```
data_BaBiOsBr2
_chemical_formula_sum 'Ba1 Bi1 Os1 Br2'
_space_group_name_H-M_alt 'P 4/m m m'
_space_group_IT_number 123
_space_group_name_Hall '-P 4 2'
_cell_length_a 5.387
_cell_length_b 5.387
_cell_length_c 5.264
_cell_angle_alpha 90.00
_cell_angle_beta 90.00
_cell_angle_gamma 90.00
loop_
_atom_site_label
_atom_site_fract_x
_atom_site_fract_y
_atom_site_fract_z
Ba1 0.000 0.000 0.000
Bi1 0.500 0.500 0.000
Os1 0.500 0.500 0.500
Br1 0.000 0.500 0.500
```

---

2.
DFT (PBE) results for an optimized crystal structure of HgH3F6.

Summary:
DOS at the Fermi energy	0.71	states/eV/atom
raw total energy	-3.448	eV per atom

The structure in CIF format:
```
data_HgH3F6
_chemical_formula_sum 'Hg3 H9 F18'
_space_group_name_H-M_alt 'R 3 m'
_space_group_IT_number 160
_space_group_name_Hall 'R 3 -2"'
_cell_length_a 11.2771
_cell_length_b 11.2771
_cell_length_c 3.4503
_cell_angle_alpha 90.00
_cell_angle_beta 90.00
_cell_angle_gamma 120.00
loop_
_atom_site_label
_atom_site_fract_x
_atom_site_fract_y
_atom_site_fract_z
Hg1 0.0000 0.0000 0.0000
H1 0.0275 0.5138 0.2684
F1 0.0789 0.1578 0.5058
F2 0.1975 0.3950 0.7321
```

---

3.
DFT (PBE) results for an optimized crystal structure of CaLa2Sb4.

Summary:
DOS at the Fermi energy	0.87	states/eV/atom
E_form (uncorrected)	-443	meV/atom
raw total energy	-4.492	eV per atom

The structure in CIF format:
```
data_CaLa2Sb4
_chemical_formula_sum 'Ca2 La4 Sb8'
_space_group_name_H-M_alt 'I 4/m m m'
_space_group_IT_number 139
_space_group_name_Hall '-I 4 2'
_cell_length_a 5.664
_cell_length_b 5.664
_cell_length_c 15.924
_cell_angle_alpha 90.00
_cell_angle_beta 90.00
_cell_angle_gamma 90.00
loop_
_atom_site_label
_atom_site_fract_x
_atom_site_fract_y
_atom_site_fract_z
Ca1 0.000 0.000 0.000
La1 0.000 0.000 0.386
Sb1 0.000 0.000 0.189
Sb2 0.000 0.500 0.000
```

---

4.
DFT (PBE) results for an optimized crystal structure of Mg2AsS.

Summary:
DOS at the Fermi energy	0.17	states/eV/atom
E_form (uncorrected)	-871	meV/atom
raw total energy	-3.863	eV per atom

The structure in CIF format:
```
data_Mg2AsS
_chemical_formula_sum 'Mg6 As3 S3'
_space_group_name_H-M_alt 'R -3 m'
_space_group_IT_number 166
_space_group_name_Hall '-R 3 2"'
_cell_length_a 3.6370
_cell_length_b 3.6370
_cell_length_c 20.1799
_cell_angle_alpha 90.00
_cell_angle_beta 90.00
_cell_angle_gamma 120.00
loop_
_atom_site_label
_atom_site_fract_x
_atom_site_fract_y
_atom_site_fract_z
Mg1 0.0000 0.0000 0.2420
As1 0.0000 0.0000 0.0000
S1 0.0000 0.0000 0.5000
```

---

5.
DFT (PBE) results for an optimized crystal structure of RuRh2N.

Summary:
DOS at the Fermi energy	1.27	states/eV/atom
E_form (uncorrected)	618	meV/atom
raw total energy	-7.458	eV per atom

The structure in CIF format:
```
data_RuRh2N
_chemical_formula_sum 'Ru4 Rh8 N4'
_space_group_name_H-M_alt 'I -4 2 d'
_space_group_IT_number 122
_space_group_name_Hall 'I -4 2bw'
_cell_length_a 6.345
_cell_length_b 6.345
_cell_length_c 5.165
_cell_angle_alpha 90.00
_cell_angle_beta 90.00
_cell_angle_gamma 90.00
loop_
_atom_site_label
_atom_site_fract_x
_atom_site_fract_y
_atom_site_fract_z
Ru1 0.000 0.000 0.000
Rh1 0.155 0.250 0.625
N1 0.000 0.000 0.500
```

---

6.
DFT (PBE) results for an optimized crystal structure of La3NdPu2Se6.

Summary:
DOS at the Fermi energy	1.68	states/eV/atom
E_form (uncorrected)	-1823	meV/atom
raw total energy	-7.583	eV per atom

The structure in CIF format:
```
data_La3NdPu2Se6
_chemical_formula_sum 'La6 Nd2 Pu4 Se12'
_space_group_name_H-M_alt 'C 1 2/m 1'
_space_group_IT_number 12
_space_group_name_Hall '-C 2y'
_cell_length_a 7.339
_cell_length_b 12.716
_cell_length_c 7.381
_cell_angle_alpha 90.00
_cell_angle_beta 109.35
_cell_angle_gamma 90.00
loop_
_atom_site_label
_atom_site_fract_x
_atom_site_fract_y
_atom_site_fract_z
La1 0.000 0.000 0.000
La2 0.000 0.335 0.000
Nd1 0.000 0.500 0.500
Pu1 0.000 0.167 0.500
Se1 0.242 0.000 0.739
Se2 0.249 0.331 0.740
```